{"formula": "CaTl14Pb", "functional": "PBE", "state": "relaxed", "final_energy_ev_per_atom": -2.47, "cell": [[11.417, 0.000, 0.000], [0.000, 3.504, 6.059], [0.000, -3.504, 6.059]], "species": ["Ca", "Tl", "Tl", "Tl", "Tl", "Tl", "Tl", "Tl", "Tl", "Tl", "Tl", "Tl", "Tl", "Tl", "Tl", "Pb"], "fractional_positions": [[0.000, 0.000, 0.000], [0.000, 0.502, 0.997], [0.000, 0.997, 0.502], [0.247, 0.331, 0.331], [0.250, 0.335, 0.831], [0.250, 0.831, 0.335], [0.250, 0.832, 0.832], [0.500, 0.163, 0.163], [0.500, 0.163, 0.666], [0.500, 0.666, 0.163], [0.500, 0.666, 0.666], [0.750, 0.335, 0.831], [0.750, 0.831, 0.335], [0.750, 0.832, 0.832], [0.753, 0.331, 0.331], [0.000, 0.498, 0.498]]}